A geometry-optimized Ag8Te3Se2 structure, computed with PBE.

Unit cell a=7.065 b=8.245 c=12.042 alpha=98.61 beta=90.00 gamma=115.37
Element x y z (fractional)
Ag 0.725 0.329 0.184
Ag 0.188 0.462 0.494
Ag 0.275 0.671 0.816
Ag 0.139 0.093 0.382
Ag 0.861 0.907 0.618
Ag 0.274 0.462 0.994
Ag 0.954 0.093 0.882
Ag 0.812 0.538 0.506
Ag 0.726 0.538 0.006
Ag 0.875 0.717 0.810
Ag 0.842 0.717 0.310
Ag 0.396 0.671 0.316
Ag 0.125 0.283 0.190
Ag 0.604 0.329 0.684
Ag 0.046 0.907 0.118
Ag 0.158 0.283 0.690
Se 0.478 0.392 0.342
Se 0.522 0.608 0.658
Se 0.914 0.392 0.842
Se 0.086 0.608 0.158
Te 0.725 0.000 0.250
Te 0.202 0.832 0.488
Te 0.630 0.832 0.988
Te 0.798 0.168 0.512
Te 0.275 0.000 0.750
Te 0.370 0.168 0.012

Output
**DOS at the Fermi energy**: 0.56 states/eV/f.u.
**Symmetry**: C2/c
**Final energy**: -3.045 eV/atom

---

A geometry-optimized Na9Cu2O7 structure, computed with PBE.

Unit cell a=9.914 b=9.914 c=9.914 alpha=90.00 beta=90.00 gamma=90.00
Each line ends with the local moment (μB).
Element x y z (fractional)
O 0.189 0.928 0.574  0.21
O 0.087 0.840 0.903  0.24
O 0.219 0.281 0.719  0.13
O 0.097 0.587 0.660  0.24
O 0.340 0.597 0.913  0.24
O 0.160 0.403 0.413  0.24
O 0.413 0.160 0.403  0.24
O 0.426 0.689 0.572  0.21
O 0.574 0.189 0.928  0.21
O 0.074 0.311 0.072  0.21
O 0.719 0.219 0.281  0.13
O 0.403 0.413 0.160  0.24
O 0.072 0.074 0.311  0.21
O 0.928 0.574 0.189  0.21
O 0.572 0.426 0.689  0.21
O 0.587 0.660 0.097  0.24
O 0.281 0.719 0.219  0.13
O 0.840 0.903 0.087  0.24
O 0.311 0.072 0.074  0.21
O 0.926 0.811 0.428  0.21
O 0.597 0.913 0.340  0.24
O 0.781 0.781 0.781  0.13
O 0.660 0.097 0.587  0.24
O 0.913 0.340 0.597  0.24
O 0.811 0.428 0.926  0.21
O 0.428 0.926 0.811  0.21
O 0.689 0.572 0.426  0.21
O 0.903 0.087 0.840  0.24
Na 0.394 0.394 0.394  0.00
Na 0.492 0.709 0.333  0.00
Na 0.106 0.606 0.894  0.00
Na 0.709 0.333 0.492  0.00
Na 0.291 0.833 0.008  0.00
Na 0.791 0.667 0.992  0.00
Na 0.069 0.069 0.069  0.00
Na 0.894 0.106 0.606  0.00
Na 0.284 0.327 0.960  0.00
Na 0.827 0.540 0.716  0.00
Na 0.784 0.173 0.040  0.00
Na 0.216 0.673 0.460  0.00
Na 0.209 0.167 0.508  0.00
Na 0.431 0.931 0.569  0.00
Na 0.768 0.732 0.268  0.00
Na 0.606 0.894 0.106  0.00
Na 0.960 0.284 0.327  0.00
Na 0.173 0.040 0.784  0.00
Na 0.667 0.992 0.791  0.00
Na 0.833 0.008 0.291  0.00
Na 0.167 0.508 0.209  0.00
Na 0.992 0.791 0.667  0.00
Na 0.327 0.960 0.284  0.00
Na 0.008 0.291 0.833  0.00
Na 0.931 0.569 0.431  0.00
Na 0.268 0.768 0.732  0.00
Na 0.732 0.268 0.768  0.00
Na 0.040 0.784 0.173  0.00
Na 0.232 0.232 0.232  0.00
Na 0.508 0.209 0.167  0.00
Na 0.333 0.492 0.709  0.00
Na 0.569 0.431 0.931  0.00
Na 0.716 0.827 0.540  0.00
Na 0.460 0.216 0.673  0.00
Na 0.673 0.460 0.216  0.00
Na 0.540 0.716 0.827  0.00
Cu 0.596 0.096 0.404  0.71
Cu 0.566 0.566 0.566  0.56
Cu 0.904 0.904 0.904  0.71
Cu 0.096 0.404 0.596  0.71
Cu 0.434 0.066 0.934  0.56
Cu 0.934 0.434 0.066  0.56
Cu 0.404 0.596 0.096  0.71
Cu 0.066 0.934 0.434  0.56

Output
**DOS at the Fermi energy**: 8.61 states/eV/f.u.
**Symmetry**: P2_13
**Final energy**: -4.124 eV/atom